# 1
Entry from Alexandria via LeMat-Bulk: crystalline KTeOs4 at its relaxed geometry (PBE-GGA). Values from VASP.

Output
Crystal system ... cubic
N(E_F) ... 9.0 states/eV/f.u.
Raw formation energy ... 6.8 eV per formula unit
E_tot ... -7.055 eV/atom
Space group ... No. 216

Geometry as Quantum ESPRESSO input:
```
&SYSTEM
  ibrav = 0, nat = 6, ntyp = 3
/
ATOMIC_SPECIES
K 39.10 K.upf
Os 190.23 Os.upf
Te 127.60 Te.upf
ATOMIC_POSITIONS angstrom
K 0.000 0.000 0.000
Os 4.749 4.749 2.856
Os 4.749 2.856 4.749
Os 2.856 4.749 4.749
Os 2.856 2.856 2.856
Te 5.704 5.704 5.704
CELL_PARAMETERS angstrom
0.000 3.803 3.803
3.803 0.000 3.803
3.803 3.803 0.000
```


# 2
Entry from Alexandria via LeMat-Bulk: crystalline Li2TeS at its relaxed geometry (PBE-GGA). Values from VASP.

Output
Crystal system ... trigonal
N(E_F) ... 2.5 states/eV/f.u.
Raw formation energy ... -2.8 eV per formula unit
Polymorph energy (0 for the lowest one) ... 18.3 meV/atom
E_tot ... -3.484 eV/atom
Space group ... No. 166

Geometry as Quantum ESPRESSO input:
```
&SYSTEM
  ibrav = 0, nat = 4, ntyp = 3
/
ATOMIC_SPECIES
Li 6.94 Li.upf
Te 127.60 Te.upf
S 32.06 S.upf
ATOMIC_POSITIONS angstrom
Li 5.141 2.968 6.430
Li 1.714 0.989 1.375
Te 3.427 1.979 3.903
S 0.000 0.000 0.000
CELL_PARAMETERS angstrom
3.427 0.000 0.000
1.714 2.968 0.000
1.714 0.989 7.805
```


# 3
Entry from Alexandria via LeMat-Bulk: crystalline ScSbTe2I at its relaxed geometry (PBE-GGA). Values from VASP.

Output
Crystal system ... tetragonal
N(E_F) ... 5.8 states/eV/f.u.
Raw formation energy ... 3.9 eV per formula unit
Polymorph energy (0 for the lowest one) ... 923.1 meV/atom
E_tot ... -2.878 eV/atom
Space group ... No. 123

Geometry as Quantum ESPRESSO input:
```
&SYSTEM
  ibrav = 0, nat = 5, ntyp = 4
/
ATOMIC_SPECIES
Te 127.60 Te.upf
I 126.90 I.upf
Sb 121.76 Sb.upf
Sc 44.96 Sc.upf
ATOMIC_POSITIONS angstrom
Te 2.864 0.000 0.000
Te 0.000 2.864 0.000
I 0.000 0.000 0.000
Sb 0.000 0.000 2.873
Sc 2.864 2.864 2.873
CELL_PARAMETERS angstrom
5.728 0.000 0.000
0.000 5.728 0.000
0.000 0.000 5.746
```


# 4
Entry from Alexandria via LeMat-Bulk: crystalline YCdIr at its relaxed geometry (PBE-GGA). Values from VASP.

Output
E_form ... -552 meV per atom
Crystal system ... orthorhombic
N(E_F) ... 1.0 states/eV/f.u.
E_tot ... -5.965 eV/atom
Space group ... No. 63

Geometry as Quantum ESPRESSO input:
```
&SYSTEM
  ibrav = 0, nat = 6, ntyp = 3
/
ATOMIC_SPECIES
Ir 192.22 Ir.upf
Cd 112.41 Cd.upf
Y 88.91 Y.upf
ATOMIC_POSITIONS angstrom
Ir 0.189 3.533 3.820
Ir 0.582 1.570 2.123
Cd 1.094 1.286 8.312
Cd 3.276 3.394 7.390
Y 2.604 3.644 1.880
Y 1.885 1.451 4.934
CELL_PARAMETERS angstrom
3.718 -0.008 0.870
-0.035 4.082 0.189
-0.122 -0.414 8.888
```


Look up the N(E_F) of the second one. 2.5 states/eV/f.u.


What did the fourth record say?
Entry from Alexandria via LeMat-Bulk: crystalline YCdIr at its relaxed geometry (PBE-GGA). Values from VASP.

Output
E_form ... -552 meV per atom
Crystal system ... orthorhombic
N(E_F) ... 1.0 states/eV/f.u.
E_tot ... -5.965 eV/atom
Space group ... No. 63

Geometry as Quantum ESPRESSO input:
```
&SYSTEM
  ibrav = 0, nat = 6, ntyp = 3
/
ATOMIC_SPECIES
Ir 192.22 Ir.upf
Cd 112.41 Cd.upf
Y 88.91 Y.upf
ATOMIC_POSITIONS angstrom
Ir 0.189 3.533 3.820
Ir 0.582 1.570 2.123
Cd 1.094 1.286 8.312
Cd 3.276 3.394 7.390
Y 2.604 3.644 1.880
Y 1.885 1.451 4.934
CELL_PARAMETERS angstrom
3.718 -0.008 0.870
-0.035 4.082 0.189
-0.122 -0.414 8.888
```